1.
Ag2H2IOF, relaxed, DFT PBEsol; raw total energy = -55.8 eV/cell; total magnetization = 0.00 μB/cell
1.0
-2.434 -1.928 -3.446
5.283 -3.047 -0.905
-2.352 -5.481 4.727
Ag H I O F
4 4 2 2 2
Cartesian
0.409 -6.442 -1.494
-0.952 -6.437 3.961
1.139 -4.548 -3.586
0.104 -4.170 2.463
2.683 -7.483 1.652
-2.111 -2.798 -1.426
-2.267 -3.729 1.092
3.780 -4.360 -2.756
-0.818 -7.179 1.040
1.092 -3.797 -0.214
3.202 -6.734 1.194
-2.021 -2.129 -2.191
2.168 -8.656 2.431
-2.516 -3.767 -0.356

2.
HgGe2WCl, relaxed, DFT PBEsol; uncorrected formation energy = 0.37 eV/atom; raw total energy = -24.4 eV/cell; total magnetization = 0.00 μB/cell; DOS at the Fermi energy = 2.7 states/eV/f.u.
1.0
-3.262 2.144 2.461
1.530 -2.367 4.090
3.163 3.707 0.962
Ge Hg W Cl
2 1 1 1
Cartesian
1.582 1.853 0.481
0.765 -1.184 2.045
0.716 1.742 3.757
0.000 0.000 0.000
-1.631 1.072 1.231

3.
Cd3Ag, relaxed, DFT PBEsol; formation energy from the elements = -10 meV/atom; raw total energy = -6.9 eV/cell; total magnetization = 0.00 μB/cell; DOS at the Fermi energy = 0.8 states/eV/f.u.
1.0
3.467 0.000 0.000
0.000 4.688 0.000
-1.734 -2.344 4.706
Ag Cd
1 3
Cartesian
0.000 0.000 0.000
0.000 2.344 2.435
1.734 2.344 0.000
1.734 0.000 2.271

4.
SmAgO2, relaxed, DFT PBEsol; uncorrected formation energy = -2.18 eV/atom; raw total energy = -55.2 eV/cell; total magnetization = 0.00 μB/cell; DOS at the Fermi energy = 0.0 states/eV/f.u.
1.0
3.616 0.000 0.000
-1.808 3.132 0.000
0.000 0.000 12.248
O Ag Sm
4 2 2
Cartesian
0.000 2.088 5.085
0.000 2.088 1.038
1.808 1.044 11.209
1.808 1.044 7.162
0.000 2.088 3.062
1.808 1.044 9.186
0.000 0.000 6.124
0.000 0.000 0.000

5.
Li6Mn5Ni3O16, relaxed, DFT PBEsol; uncorrected formation energy = -1.60 eV/atom; raw total energy = -211.2 eV/cell; total magnetization = 20.07 μB/cell; DOS at the Fermi energy = 5.3 states/eV/f.u.
1.0
5.629 0.000 0.000
-2.815 4.922 -0.005
0.000 -0.215 9.231
Li Mn Ni O
6 5 3 16
Cartesian
0.000 1.583 4.163
1.381 3.971 4.131
-1.381 3.971 4.131
4.177 0.615 8.714
1.453 0.615 8.714
2.815 3.122 8.696
0.000 1.557 6.609
0.000 3.109 9.112
4.205 0.787 1.981
1.424 0.787 1.981
2.815 1.574 4.513
1.399 3.938 6.569
-1.399 3.938 6.569
2.815 3.203 1.954
0.000 1.588 0.923
1.247 2.308 7.849
1.410 4.133 0.849
0.000 3.098 5.512
-1.247 2.308 7.849
0.000 4.496 7.855
4.238 0.765 5.490
-1.410 4.133 0.849
2.815 0.071 3.128
1.391 0.765 5.490
2.815 1.514 0.911
4.099 2.234 3.199
1.530 2.234 3.199
2.815 3.175 5.413
0.000 -0.002 2.983
0.000 -0.087 7.560

6.
Ag2Hg, relaxed, DFT PBEsol; energy above the most stable polymorph in this dataset = 29 meV per atom; formation energy from the elements = 31 meV/atom; raw total energy = -7.1 eV/cell; total magnetization = 0.00 μB/cell; DOS at the Fermi energy = 0.8 states/eV/f.u.
1.0
2.989 0.000 0.000
-1.495 2.589 0.000
0.000 0.000 7.032
Hg Ag
1 2
Cartesian
0.000 0.000 0.000
1.495 0.863 2.398
0.000 1.726 4.634

7.
In2MoAs, relaxed, DFT PBEsol; formation energy from the elements = 324 meV/atom; raw total energy = -21.5 eV/cell; total magnetization = 0.00 μB/cell; DOS at the Fermi energy = 2.5 states/eV/f.u.
1.0
3.716 0.000 0.000
0.000 3.716 0.000
0.000 0.000 5.438
Mo As In
1 1 2
Cartesian
1.858 1.858 0.000
1.858 1.858 2.719
0.000 0.000 4.098
0.000 0.000 1.340

8.
CrSiPt2, relaxed, DFT PBEsol; uncorrected formation energy = -0.37 eV/atom; raw total energy = -31.4 eV/cell; total magnetization = 3.06 μB/cell; DOS at the Fermi energy = 2.3 states/eV/f.u.
1.0
-0.505 -3.165 -2.105
3.380 0.597 -1.710
1.700 -2.034 2.650
Cr Pt Si
1 2 1
Cartesian
0.850 -1.017 1.325
1.690 0.299 -0.855
-0.253 -1.582 -1.053
2.287 -2.301 -0.583

9.
CsZn2SiPb, relaxed, DFT PBEsol; uncorrected formation energy = 0.39 eV/atom; raw total energy = -11.9 eV/cell; total magnetization = 0.00 μB/cell; DOS at the Fermi energy = 4.0 states/eV/f.u.
1.0
5.116 0.000 0.000
0.000 5.116 0.000
0.000 0.000 5.509
Pb Cs Zn Si
1 1 2 1
Cartesian
0.000 0.000 2.755
2.558 2.558 2.755
0.000 2.558 0.000
2.558 0.000 0.000
0.000 0.000 0.000

10.
ZnCo2W, relaxed, DFT PBEsol; formation energy from the elements = 110 meV/atom; raw total energy = -30.4 eV/cell; total magnetization = 1.15 μB/cell; DOS at the Fermi energy = 3.4 states/eV/f.u.
1.0
-0.152 -1.966 -1.904
3.690 -1.565 1.322
-2.035 -2.490 2.733
Zn Co W
1 2 1
Cartesian
-0.076 -0.983 -0.952
-1.018 -1.245 1.367
1.845 -0.783 0.661
0.751 -3.010 1.076

11.
CoHgAs2, relaxed, DFT PBEsol; formation energy from the elements = 163 meV/atom; raw total energy = -17.9 eV/cell; total magnetization = 0.33 μB/cell; DOS at the Fermi energy = 2.4 states/eV/f.u.
1.0
2.888 0.000 0.000
0.000 2.888 0.000
0.000 0.000 8.020
As Co Hg
2 1 1
Cartesian
0.000 0.000 0.058
1.444 1.444 2.510
0.000 0.000 3.762
1.444 1.444 5.701

12.
RbHgPPd2, relaxed, DFT PBEsol; formation energy from the elements = -104 meV/atom; raw total energy = -19.8 eV/cell; total magnetization = 0.00 μB/cell; DOS at the Fermi energy = 5.0 states/eV/f.u.
1.0
4.657 0.000 0.000
0.000 4.657 0.000
0.000 0.000 5.150
P Rb Hg Pd
1 1 1 2
Cartesian
0.000 0.000 0.000
2.329 2.329 2.575
0.000 0.000 2.575
0.000 2.329 0.000
2.329 0.000 0.000